No. 1
DFT (PBE-GGA) results for a relaxed structure of HoCdSn2.

Cell lengths 4.737, 4.737, 4.418 Å; angles 90.00, 90.00, 90.00 degrees
Fractional positions:
1 Ho 0.000 0.000 0.000
2 Cd 0.500 0.500 0.000
3 Sn 0.000 0.500 0.500
4 Sn 0.500 0.000 0.500

Calculated values
Calculated total energy: -15.22 eV/cell
Calculated density: 8.622 g/cm3
SG: P4/mmm, No. 123

No. 2
DFT (PBE-GGA) results for a relaxed structure of TaNi2Br.

Cell lengths 7.657, 3.242, 6.467 Å; angles 90.00, 95.49, 90.00 degrees
Fractional positions:
1 Ta 0.000 0.000 0.000
2 Ta 0.500 0.500 0.000
3 Ni 0.061 0.500 0.712
4 Ni 0.281 0.000 0.853
5 Ni 0.561 0.000 0.712
6 Ni 0.781 0.500 0.853
7 Br 0.082 0.500 0.328
8 Br 0.582 0.000 0.328

Calculated values
Calculated total energy: -49.07 eV/cell
Calculated density: 7.861 g/cm3
ΔE_f (raw): 138 meV/atom
SG: Cm, No. 8

No. 3
DFT (PBE-GGA) results for a relaxed structure of Cs2KLi.

Cell lengths 5.149, 5.149, 41.808 Å; angles 90.00, 90.00, 120.00 degrees
Fractional positions:
1 Cs 0.000 0.000 0.000
2 Cs 0.000 0.000 0.197
3 Cs 0.333 0.667 0.667
4 Cs 0.333 0.667 0.864
5 Cs 0.667 0.333 0.333
6 Cs 0.667 0.333 0.531
7 K 0.000 0.000 0.432
8 K 0.333 0.667 0.099
9 K 0.667 0.333 0.765
10 Li 0.000 0.000 0.599
11 Li 0.333 0.667 0.265
12 Li 0.667 0.333 0.932

Calculated values
Calculated total energy: -12.24 eV/cell
Calculated density: 1.618 g/cm3
SG: R3m, No. 160

No. 4
DFT (PBE-GGA) results for a relaxed structure of LiEuHoNi.

Cell lengths 7.076, 7.076, 7.076 Å; angles 90.00, 90.00, 90.00 degrees
Fractional positions:
1 Li 0.000 0.000 0.000
2 Li 0.000 0.500 0.500
3 Li 0.500 0.000 0.500
4 Li 0.500 0.500 0.000
5 Eu 0.250 0.250 0.250
6 Eu 0.250 0.750 0.750
7 Eu 0.750 0.250 0.750
8 Eu 0.750 0.750 0.250
9 Ho 0.250 0.250 0.750
10 Ho 0.250 0.750 0.250
11 Ho 0.750 0.250 0.250
12 Ho 0.750 0.750 0.750
13 Ni 0.000 0.000 0.500
14 Ni 0.000 0.500 0.000
15 Ni 0.500 0.000 0.000
16 Ni 0.500 0.500 0.500

Calculated values
Calculated total energy: -90.56 eV/cell
Calculated density: 7.171 g/cm3
SG: F-43m, No. 216

No. 5
DFT (PBE-GGA) results for a relaxed structure of LaSm2YSe6.

Cell lengths 7.842, 7.842, 7.842 Å; angles 56.41, 56.41, 56.41 degrees
Fractional positions:
1 La 0.000 0.000 0.000
2 Sm 0.293 0.293 0.293
3 Sm 0.798 0.798 0.798
4 Y 0.494 0.494 0.494
5 Se 0.095 0.683 0.410
6 Se 0.205 0.593 0.888
7 Se 0.410 0.095 0.683
8 Se 0.593 0.888 0.205
9 Se 0.683 0.410 0.095
10 Se 0.888 0.205 0.593

Calculated values
Calculated total energy: -60.53 eV/cell
Calculated density: 5.323 g/cm3
ΔE_f (raw): -1880 meV/atom
SG: R3, No. 146

No. 6
DFT (PBE-GGA) results for a relaxed structure of PrSm6Y3Th2.

Cell lengths 6.262, 6.262, 11.987 Å; angles 95.01, 95.01, 119.94 degrees
Fractional positions:
1 Pr 0.000 0.000 0.000
2 Sm 0.083 0.422 0.248
3 Sm 0.255 0.255 0.752
4 Sm 0.422 0.083 0.248
5 Sm 0.578 0.917 0.752
6 Sm 0.745 0.745 0.248
7 Sm 0.917 0.578 0.752
8 Y 0.167 0.833 0.500
9 Y 0.500 0.500 0.500
10 Y 0.833 0.167 0.500
11 Th 0.333 0.667 0.000
12 Th 0.667 0.333 0.000

Calculated values
Calculated total energy: -66.86 eV/cell
Calculated density: 7.343 g/cm3
SG: C2/m, No. 12

No. 7
DFT (PBE-GGA) results for a relaxed structure of Sn2HAu4.

Cell lengths 4.033, 4.033, 16.507 Å; angles 90.00, 90.00, 90.00 degrees
Fractional positions:
1 Sn 0.000 0.000 0.169
2 Sn 0.000 0.000 0.831
3 Sn 0.500 0.500 0.331
4 Sn 0.500 0.500 0.669
5 H 0.000 0.000 0.500
6 H 0.500 0.500 0.000
7 Au 0.000 0.000 0.344
8 Au 0.000 0.000 0.656
9 Au 0.000 0.500 0.000
10 Au 0.000 0.500 0.500
11 Au 0.500 0.000 0.000
12 Au 0.500 0.000 0.500
13 Au 0.500 0.500 0.156
14 Au 0.500 0.500 0.844

Calculated values
Calculated total energy: -48.04 eV/cell
Calculated density: 12.694 g/cm3
SG: I4/mmm, No. 139

No. 8
DFT (PBE-GGA) results for a relaxed structure of Li4Ac2PdPt3.

Cell lengths 4.255, 4.255, 10.835 Å; angles 90.00, 90.00, 90.00 degrees
Fractional positions:
1 Li 0.000 0.000 0.000
2 Li 0.000 0.500 0.385
3 Li 0.500 0.000 0.615
4 Li 0.500 0.500 0.000
5 Ac 0.000 0.500 0.738
6 Ac 0.500 0.000 0.262
7 Pd 0.500 0.500 0.500
8 Pt 0.000 0.000 0.500
9 Pt 0.000 0.500 0.153
10 Pt 0.500 0.000 0.847

Calculated values
Calculated total energy: -46.25 eV/cell
Calculated density: 9.934 g/cm3
SG: P-4m2, No. 115

Q: The lowest calculated total energy belongs to which entry?
A: LiEuHoNi

Q: Among the records above, which one has the lowest calculated total energy?
A: LiEuHoNi